# 1
# Sr2TeP

An optimized crystal structure of Sr2TeP (PBE, Alexandria via LeMat-Bulk).

- E above lowest polymorph (meV/atom) = 0

```
data_Sr2TeP
_space_group_name_H-M_alt 'P 1'
_space_group_IT_number 1
_space_group_name_Hall 'P 1'
_cell_length_a 8.169
_cell_length_b 8.169
_cell_length_c 8.169
_cell_angle_alpha 31.88
_cell_angle_beta 31.88
_cell_angle_gamma 31.88
loop_
_atom_site_label
_atom_site_type_symbol
_atom_site_fract_x
_atom_site_fract_y
_atom_site_fract_z
P1 P 0.500 0.500 0.500
Sr1 Sr 0.757 0.757 0.757
Sr2 Sr 0.243 0.243 0.243
Te1 Te 0.000 0.000 0.000
```

---

# 2
# Sr2TeP

An optimized crystal structure of Sr2TeP (PBE, Alexandria via LeMat-Bulk).

- E above lowest polymorph (meV/atom) = 163

```
data_Sr2TeP
_space_group_name_H-M_alt 'P 1'
_space_group_IT_number 1
_space_group_name_Hall 'P 1'
_cell_length_a 5.541
_cell_length_b 5.541
_cell_length_c 5.541
_cell_angle_alpha 60.00
_cell_angle_beta 60.00
_cell_angle_gamma 60.00
loop_
_atom_site_label
_atom_site_type_symbol
_atom_site_fract_x
_atom_site_fract_y
_atom_site_fract_z
Sr1 Sr 0.750 0.750 0.750
Sr2 Sr 0.250 0.250 0.250
P1 P 0.000 0.000 0.000
Te1 Te 0.500 0.500 0.500
```

---

# 3
# SrTeP2

An optimized crystal structure of SrTeP2 (PBE, Alexandria via LeMat-Bulk).

```
data_SrTeP2
_space_group_name_H-M_alt 'P 1'
_space_group_IT_number 1
_space_group_name_Hall 'P 1'
_cell_length_a 6.013
_cell_length_b 6.013
_cell_length_c 6.013
_cell_angle_alpha 146.78
_cell_angle_beta 124.32
_cell_angle_gamma 66.39
loop_
_atom_site_label
_atom_site_type_symbol
_atom_site_fract_x
_atom_site_fract_y
_atom_site_fract_z
P1 P 0.050 0.050 0.000
P2 P 0.193 0.693 0.500
Sr1 Sr 0.481 0.481 0.000
Te1 Te 0.776 0.276 0.500
```

---

# 4
# Sr2TeP

An optimized crystal structure of Sr2TeP (PBE, Alexandria via LeMat-Bulk).

- E above lowest polymorph (meV/atom) = 35

```
data_Sr2TeP
_space_group_name_H-M_alt 'P 1'
_space_group_IT_number 1
_space_group_name_Hall 'P 1'
_cell_length_a 4.594
_cell_length_b 4.594
_cell_length_c 6.504
_cell_angle_alpha 90.00
_cell_angle_beta 90.00
_cell_angle_gamma 90.00
loop_
_atom_site_label
_atom_site_type_symbol
_atom_site_fract_x
_atom_site_fract_y
_atom_site_fract_z
Te1 Te 0.000 0.000 0.000
P1 P 0.500 0.500 0.500
Sr1 Sr 0.500 0.500 0.000
Sr2 Sr 0.000 0.000 0.500
```

---

# 5
# SrTeP2

An optimized crystal structure of SrTeP2 (PBE, Alexandria via LeMat-Bulk).

```
data_SrTeP2
_space_group_name_H-M_alt 'P 1'
_space_group_IT_number 1
_space_group_name_Hall 'P 1'
_cell_length_a 7.403
_cell_length_b 7.403
_cell_length_c 4.454
_cell_angle_alpha 118.02
_cell_angle_beta 118.02
_cell_angle_gamma 32.27
loop_
_atom_site_label
_atom_site_type_symbol
_atom_site_fract_x
_atom_site_fract_y
_atom_site_fract_z
Te1 Te 0.235 0.235 0.082
Sr1 Sr 0.505 0.505 0.590
P1 P 0.795 0.795 0.795
P2 P 0.964 0.964 0.033
```

---

# 6
# SrTeP2

An optimized crystal structure of SrTeP2 (PBE, Alexandria via LeMat-Bulk).

```
data_SrTeP2
_space_group_name_H-M_alt 'P 1'
_space_group_IT_number 1
_space_group_name_Hall 'P 1'
_cell_length_a 4.208
_cell_length_b 4.207
_cell_length_c 6.290
_cell_angle_alpha 90.00
_cell_angle_beta 90.00
_cell_angle_gamma 90.00
loop_
_atom_site_label
_atom_site_type_symbol
_atom_site_fract_x
_atom_site_fract_y
_atom_site_fract_z
P1 P 0.500 0.500 0.333
P2 P 0.000 0.000 0.864
Te1 Te 0.500 0.500 0.944
Sr1 Sr 0.000 0.000 0.359
```

---

Respective E_tot values: -4.14 -3.98 -4.33 -4.11 -4.43 -4.17 eV per atom.